First-principles (GGA-PBE) data for Ta2CrAu after structural relaxation, as listed in Alexandria.

Structure (extended XYZ):
```
4
Lattice="2.831 0.000 0.000 -0.899 2.685 0.000 0.000 0.000 8.699" Properties=species:S:1:pos:R:3 pbc="T T T"
Ta 0.000 0.000 8.514
Ta 0.000 0.000 4.535
Cr 0.966 1.342 6.524
Au 0.966 1.342 2.175
```

Properties
DFT formation energy = 0.06 eV per atom
Space group = Cmmm, No. 65

First-principles (GGA-PBE) data for Ta2CrAu after structural relaxation, as listed in Alexandria.

Structure (extended XYZ):
```
4
Lattice="3.117 0.000 0.000 0.000 3.117 0.000 0.000 0.000 6.810" Properties=species:S:1:pos:R:3 pbc="T T T"
Ta 0.000 0.000 3.626
Au 1.559 1.559 1.702
Ta 0.000 0.000 6.588
Cr 1.559 1.559 5.107
```

Properties
DFT formation energy = 0.00 eV per atom
Space group = P4/mmm, No. 123

First-principles (GGA-PBE) data for Ta2CrAu after structural relaxation, as listed in Alexandria.

Structure (extended XYZ):
```
4
Lattice="4.916 -0.006 0.009 4.109 2.698 0.009 0.531 0.158 5.041" Properties=species:S:1:pos:R:3 pbc="T T T"
Cr 2.389 0.713 1.265
Ta 4.715 1.407 2.498
Ta 0.063 0.019 0.032
Au 7.167 2.138 3.795
```

Properties
DFT formation energy = 0.28 eV per atom
Space group = C2/m, No. 12